BaCrI2F (GGA+U, optimized geometry); final energy = -4.08 eV/atom
1.0
-0.710 -5.342 -3.554
3.090 1.647 -3.093
4.790 -2.821 3.283
I Cr Ba F
2 1 1 1
Direct
0.000 0.000 0.500
0.500 0.000 0.000
0.500 0.500 0.500
0.000 0.500 0.000
0.000 0.000 0.000